Crystalline PtW3F at its relaxed geometry. Source: Alexandria via LeMat-Bulk, functional GGA+U.

Values from the calculation:
* E above lowest polymorph: 0.221 eV per atom
* SG: Pm-3m, No. 221

```
PtW3F
1.0
5.164 0.000 0.000
0.000 5.164 0.000
0.000 0.000 5.164
W Pt F
3 1 1
direct
0.000 0.500 0.000
0.000 0.000 0.500
0.500 0.000 0.000
0.000 0.000 0.000
0.500 0.500 0.500
```